The following is a DFT calculation (PBEsol) of AlCu7 after structural relaxation.

- VASP energy: -4.3997 eV/atom
- Total magnetization: 0.00 μB/cell
- Volume: 92.7 Å³ per cell
- Symmetry: No. 225
- ΔE_f: -95.9 meV per atom

Lattice parameters (Å, degrees): 5.0800 5.0800 5.0800 60.00 60.00 60.00
Element x y z (fractional)
Cu1 0.5000 0.5000 0.5000
Cu2 0.5000 0.0000 0.0000
Al1 0.0000 0.0000 0.0000
Cu3 0.5000 0.5000 0.0000
Cu4 0.5000 0.0000 0.5000
Cu5 0.0000 0.0000 0.5000
Cu6 0.0000 0.5000 0.0000
Cu7 0.0000 0.5000 0.5000